The following is a DFT calculation (PBE) of a relaxed structure of NdGa2CoGe.

Properties
crystal system: orthorhombic
raw total energy: -24.79 eV per cell
DFT formation energy: -448 meV per atom

a b c (Å): 4.115 4.035 6.151
angles (deg): 109.15 109.54 90.00
Element x y z (fractional)
Ga 0.687 0.187 0.375
Ga 0.062 0.062 0.124
Ge 0.825 0.825 0.651
Co 0.199 0.699 0.398
Nd 0.439 0.439 0.877